Record 1
# BaMg6Hg6, relaxed, DFT PBE-GGA
data_BaMg6Hg6
_symmetry_space_group_name_H-M 'P 1'
_symmetry_Int_Tables_number 1
_cell_length_a 6.184
_cell_length_b 7.800
_cell_length_c 7.800
_cell_angle_alpha 77.31
_cell_angle_beta 66.65
_cell_angle_gamma 66.65
loop_
_symmetry_equiv_pos_as_xyz
'x,y,z'
loop_
_atom_site_label
_atom_site_type_symbol
_atom_site_fract_x
_atom_site_fract_y
_atom_site_fract_z
Mg1 Mg 0.500 0.000 0.500
Mg2 Mg 0.500 0.250 0.750
Mg3 Mg 0.500 0.750 0.250
Mg4 Mg 0.000 0.000 0.500
Mg5 Mg 0.000 0.500 0.000
Mg6 Mg 0.500 0.500 0.000
Hg1 Hg 0.000 0.344 0.656
Hg2 Hg 0.340 0.660 0.660
Hg3 Hg 0.319 0.181 0.181
Hg4 Hg 0.000 0.656 0.344
Hg5 Hg 0.660 0.340 0.340
Hg6 Hg 0.681 0.819 0.819
Ba1 Ba 0.000 0.000 0.000
# Symmetry ... Immm
# Calculated total energy ... -1.27 eV per atom

Record 2
# TiWN3, relaxed, DFT PBE-GGA
data_TiWN3
_symmetry_space_group_name_H-M 'P 1'
_symmetry_Int_Tables_number 1
_cell_length_a 5.382
_cell_length_b 8.067
_cell_length_c 8.122
_cell_angle_alpha 85.68
_cell_angle_beta 86.32
_cell_angle_gamma 70.75
loop_
_symmetry_equiv_pos_as_xyz
'x,y,z'
loop_
_atom_site_label
_atom_site_type_symbol
_atom_site_fract_x
_atom_site_fract_y
_atom_site_fract_z
W1 W 0.617 0.457 0.345
W2 W 0.909 0.091 0.143
W3 W 0.091 0.909 0.857
W4 W 0.383 0.543 0.655
Ti1 Ti 0.049 0.252 0.711
Ti2 Ti 0.319 0.902 0.515
Ti3 Ti 0.951 0.748 0.289
Ti4 Ti 0.681 0.098 0.485
N1 N 0.600 0.254 0.243
N2 N 0.107 0.131 0.940
N3 N 0.090 0.000 0.327
N4 N 0.866 0.540 0.251
N5 N 0.282 0.643 0.427
N6 N 0.337 0.130 0.575
N7 N 0.893 0.869 0.060
N8 N 0.718 0.357 0.573
N9 N 0.663 0.870 0.425
N10 N 0.400 0.746 0.757
N11 N 0.910 0.000 0.673
N12 N 0.134 0.460 0.749
# Symmetry ... P-1
# Energy relative to the elements, uncorrected ... -0.572 eV per atom

Record 3
# LiSmTl2I6, relaxed, DFT PBE-GGA
data_LiSmTl2I6
_symmetry_space_group_name_H-M 'P 1'
_symmetry_Int_Tables_number 1
_cell_length_a 8.069
_cell_length_b 8.568
_cell_length_c 11.663
_cell_angle_alpha 90.00
_cell_angle_beta 89.19
_cell_angle_gamma 90.00
loop_
_symmetry_equiv_pos_as_xyz
'x,y,z'
loop_
_atom_site_label
_atom_site_type_symbol
_atom_site_fract_x
_atom_site_fract_y
_atom_site_fract_z
I1 I 0.810 0.805 0.947
I2 I 0.889 0.520 0.255
I3 I 0.111 0.480 0.745
I4 I 0.310 0.695 0.447
I5 I 0.312 0.696 0.052
I6 I 0.611 0.020 0.245
I7 I 0.190 0.195 0.053
I8 I 0.690 0.305 0.553
I9 I 0.688 0.304 0.948
I10 I 0.188 0.196 0.448
I11 I 0.389 0.980 0.755
I12 I 0.812 0.804 0.552
Tl1 Tl 0.467 0.409 0.243
Tl2 Tl 0.033 0.909 0.257
Tl3 Tl 0.533 0.591 0.757
Tl4 Tl 0.967 0.091 0.743
Li1 Li 0.000 0.500 0.500
Li2 Li 0.500 0.000 0.000
Sm1 Sm 0.500 0.000 0.500
Sm2 Sm 0.000 0.500 0.000
# Symmetry ... P2_1/c
# Energy relative to the elements, uncorrected ... -1.058 eV per atom

Record 4
# RbBa2Hg, relaxed, DFT PBE-GGA
data_RbBa2Hg
_symmetry_space_group_name_H-M 'P 1'
_symmetry_Int_Tables_number 1
_cell_length_a 4.963
_cell_length_b 4.963
_cell_length_c 12.353
_cell_angle_alpha 78.41
_cell_angle_beta 78.41
_cell_angle_gamma 60.00
loop_
_symmetry_equiv_pos_as_xyz
'x,y,z'
loop_
_atom_site_label
_atom_site_type_symbol
_atom_site_fract_x
_atom_site_fract_y
_atom_site_fract_z
Hg1 Hg 0.666 0.666 0.001
Ba1 Ba 0.053 0.053 0.841
Ba2 Ba 0.280 0.280 0.159
Rb1 Rb 0.500 0.500 0.499
# Symmetry ... R3m
# Calculated total energy ... -1.45 eV per atom

Record 5
# YCoP2W, relaxed, DFT PBE-GGA
data_YCoP2W
_symmetry_space_group_name_H-M 'P 1'
_symmetry_Int_Tables_number 1
_cell_length_a 4.593
_cell_length_b 5.677
_cell_length_c 4.593
_cell_angle_alpha 90.00
_cell_angle_beta 90.00
_cell_angle_gamma 90.00
loop_
_symmetry_equiv_pos_as_xyz
'x,y,z'
loop_
_atom_site_label
_atom_site_type_symbol
_atom_site_fract_x
_atom_site_fract_y
_atom_site_fract_z
Co1 Co 0.500 0.500 0.500
W1 W 0.000 0.000 0.000
Y1 Y 0.000 0.500 0.000
P1 P 0.000 0.000 0.500
P2 P 0.500 0.000 0.000
# Symmetry ... P4/mmm
# Calculated total energy ... -6.69 eV per atom

Record 6
# BaBe2Mo, relaxed, DFT PBE-GGA
data_BaBe2Mo
_symmetry_space_group_name_H-M 'P 1'
_symmetry_Int_Tables_number 1
_cell_length_a 4.699
_cell_length_b 4.699
_cell_length_c 4.699
_cell_angle_alpha 60.00
_cell_angle_beta 60.00
_cell_angle_gamma 60.00
loop_
_symmetry_equiv_pos_as_xyz
'x,y,z'
loop_
_atom_site_label
_atom_site_type_symbol
_atom_site_fract_x
_atom_site_fract_y
_atom_site_fract_z
Be1 Be 0.250 0.250 0.250
Be2 Be 0.000 0.000 0.000
Mo1 Mo 0.750 0.750 0.750
Ba1 Ba 0.500 0.500 0.500
# Symmetry ... F-43m
# Energy above the most stable polymorph in this dataset ... 999 meV per atom

Record 7
# K3BaPt, relaxed, DFT PBE-GGA
data_K3BaPt
_symmetry_space_group_name_H-M 'P 1'
_symmetry_Int_Tables_number 1
_cell_length_a 7.466
_cell_length_b 7.466
_cell_length_c 7.466
_cell_angle_alpha 90.00
_cell_angle_beta 90.00
_cell_angle_gamma 90.00
loop_
_symmetry_equiv_pos_as_xyz
'x,y,z'
loop_
_atom_site_label
_atom_site_type_symbol
_atom_site_fract_x
_atom_site_fract_y
_atom_site_fract_z
K1 K 0.000 0.000 0.500
K2 K 0.500 0.000 0.000
K3 K 0.000 0.500 0.000
Pt1 Pt 0.500 0.500 0.500
Ba1 Ba 0.000 0.000 0.000
# Symmetry ... Pm-3m
# Energy above the most stable polymorph in this dataset ... 997 meV per atom

Record 8
# NdHo2Cd4, relaxed, DFT PBE-GGA
data_NdHo2Cd4
_symmetry_space_group_name_H-M 'P 1'
_symmetry_Int_Tables_number 1
_cell_length_a 5.358
_cell_length_b 5.358
_cell_length_c 7.966
_cell_angle_alpha 109.65
_cell_angle_beta 109.65
_cell_angle_gamma 90.00
loop_
_symmetry_equiv_pos_as_xyz
'x,y,z'
loop_
_atom_site_label
_atom_site_type_symbol
_atom_site_fract_x
_atom_site_fract_y
_atom_site_fract_z
Ho1 Ho 0.259 0.259 0.517
Ho2 Ho 0.741 0.741 0.483
Cd1 Cd 0.120 0.620 0.241
Cd2 Cd 0.880 0.380 0.759
Cd3 Cd 0.620 0.120 0.241
Cd4 Cd 0.380 0.880 0.759
Nd1 Nd 0.000 0.000 0.000
# Symmetry ... I4/mmm
# Calculated total energy ... -2.66 eV per atom

Record 9
# K5Ag4, relaxed, DFT PBE-GGA
data_K5Ag4
_symmetry_space_group_name_H-M 'P 1'
_symmetry_Int_Tables_number 1
_cell_length_a 10.277
_cell_length_b 10.277
_cell_length_c 7.636
_cell_angle_alpha 90.00
_cell_angle_beta 90.00
_cell_angle_gamma 120.00
loop_
_symmetry_equiv_pos_as_xyz
'x,y,z'
loop_
_atom_site_label
_atom_site_type_symbol
_atom_site_fract_x
_atom_site_fract_y
_atom_site_fract_z
K1 K 0.268 0.268 0.250
K2 K 0.667 0.333 0.000
K3 K 0.268 0.000 0.750
K4 K 0.333 0.667 0.500
K5 K 0.000 0.268 0.750
K6 K 0.732 0.000 0.250
K7 K 0.000 0.732 0.250
K8 K 0.333 0.667 0.000
K9 K 0.667 0.333 0.500
K10 K 0.732 0.732 0.750
Ag1 Ag 0.000 0.000 0.500
Ag2 Ag 0.394 0.000 0.250
Ag3 Ag 0.000 0.394 0.250
Ag4 Ag 0.606 0.606 0.250
Ag5 Ag 0.606 0.000 0.750
Ag6 Ag 0.394 0.394 0.750
Ag7 Ag 0.000 0.000 0.000
Ag8 Ag 0.000 0.606 0.750
# Symmetry ... P6_3/mcm
# Calculated total energy ... -1.78 eV per atom

Record 10
# Er2Zn3Ga, relaxed, DFT PBE-GGA
data_Er2Zn3Ga
_symmetry_space_group_name_H-M 'P 1'
_symmetry_Int_Tables_number 1
_cell_length_a 3.893
_cell_length_b 4.187
_cell_length_c 8.114
_cell_angle_alpha 104.95
_cell_angle_beta 103.88
_cell_angle_gamma 90.00
loop_
_symmetry_equiv_pos_as_xyz
'x,y,z'
loop_
_atom_site_label
_atom_site_type_symbol
_atom_site_fract_x
_atom_site_fract_y
_atom_site_fract_z
Zn1 Zn 0.296 0.796 0.592
Zn2 Zn 0.703 0.703 0.407
Zn3 Zn 0.542 0.542 0.083
Er1 Er 0.125 0.125 0.249
Er2 Er 0.876 0.376 0.751
Ga1 Ga 0.459 0.959 0.918
# Symmetry ... Imm2
# Energy above the most stable polymorph in this dataset ... 92 meV per atom

Record 11
# Sm6ZnIn5, relaxed, DFT PBE-GGA
data_Sm6ZnIn5
_symmetry_space_group_name_H-M 'P 1'
_symmetry_Int_Tables_number 1
_cell_length_a 5.392
_cell_length_b 7.591
_cell_length_c 8.522
_cell_angle_alpha 90.00
_cell_angle_beta 71.48
_cell_angle_gamma 90.00
loop_
_symmetry_equiv_pos_as_xyz
'x,y,z'
loop_
_atom_site_label
_atom_site_type_symbol
_atom_site_fract_x
_atom_site_fract_y
_atom_site_fract_z
Zn1 Zn 0.000 0.000 0.000
Sm1 Sm 0.163 0.754 0.674
Sm2 Sm 0.163 0.246 0.674
Sm3 Sm 0.837 0.246 0.326
Sm4 Sm 0.837 0.754 0.326
Sm5 Sm 0.500 0.243 0.000
Sm6 Sm 0.500 0.757 0.000
In1 In 0.000 0.500 0.000
In2 In 0.667 0.000 0.667
In3 In 0.332 0.500 0.336
In4 In 0.333 0.000 0.333
In5 In 0.668 0.500 0.664
# Symmetry ... P2/m
# Calculated total energy ... -4.07 eV per atom

Record 12
# SrNdEuHo, relaxed, DFT PBE-GGA
data_SrNdEuHo
_symmetry_space_group_name_H-M 'P 1'
_symmetry_Int_Tables_number 1
_cell_length_a 6.032
_cell_length_b 6.032
_cell_length_c 6.032
_cell_angle_alpha 60.00
_cell_angle_beta 60.00
_cell_angle_gamma 60.00
loop_
_symmetry_equiv_pos_as_xyz
'x,y,z'
loop_
_atom_site_label
_atom_site_type_symbol
_atom_site_fract_x
_atom_site_fract_y
_atom_site_fract_z
Nd1 Nd 0.500 0.500 0.500
Sr1 Sr 0.250 0.250 0.250
Ho1 Ho 0.750 0.750 0.750
Eu1 Eu 0.000 0.000 0.000
# Symmetry ... F-43m
# Calculated total energy ... -5.13 eV per atom